A plane-wave DFT calculation with PBE was carried out for a relaxed structure of CdInCo2.

Cell lengths 4.4743, 4.4743, 4.4743 Å; angles 60.00, 60.00, 60.00 degrees
Fractional coordinates of all 4 atoms:
Cd 0.5000 0.5000 0.5000
Co 0.2500 0.2500 0.2500
Co 0.0000 0.0000 0.0000
In 0.7500 0.7500 0.7500

Computed properties:
Size of the total moment   0.6959 μB per atom
Energy relative to the elements   157 kJ/mol of formula units
Space-group type   F-43m (216)